# NiHPd2 | Alexandria via LeMat-Bulk | GGA-PBE | relaxed
data_NiHPd2
_space_group_name_H-M_alt 'P 1'
_space_group_IT_number 1
_space_group_name_Hall 'P 1'
_cell_length_a 2.705
_cell_length_b 2.705
_cell_length_c 6.269
_cell_angle_alpha 90.00
_cell_angle_beta 90.00
_cell_angle_gamma 90.00
loop_
_atom_site_label
_atom_site_fract_x
_atom_site_fract_y
_atom_site_fract_z
Pd1 0.000 0.000 0.212
Pd2 0.000 0.000 0.788
Ni1 0.500 0.500 0.500
H1 0.500 0.500 0.000
# SG = P4/mmm (123)
# calculated total energy = -18.67 eV for the cell shown
# magnetic moment = 0.32 μB per atom
# distance to the lowest polymorph of the same formula = 0.1978 eV per atom
# DOS(E_F) = 5.79 states/eV/f.u.